Entry 1:
DFT (PBE-GGA) results for a geometry-optimized Li2ZnGe2Pd5 structure.

a b c (Å): 3.5933 9.4286 9.4286
angles (deg): 90.00 90.00 90.00
Atoms (fractional coordinates):
Pd1 0.5000 0.9243 0.1966
Pd2 0.5000 0.8034 0.9243
Pd3 0.5000 0.0000 0.5000
Pd4 0.5000 0.1966 0.0757
Zn1 0.0000 0.5000 0.5000
Li1 0.0000 0.1679 0.3321
Li2 0.0000 0.8321 0.6679
Pd5 0.5000 0.4243 0.3034
Li3 0.0000 0.6679 0.1679
Pd6 0.5000 0.0757 0.8034
Pd7 0.5000 0.5000 0.0000
Ge1 0.0000 0.1321 0.6321
Li4 0.0000 0.3321 0.8321
Ge2 0.0000 0.8679 0.3679
Pd8 0.5000 0.3034 0.5757
Ge3 0.0000 0.6321 0.8679
Pd9 0.5000 0.6966 0.4243
Zn2 0.0000 0.0000 0.0000
Pd10 0.5000 0.5757 0.6966
Ge4 0.0000 0.3679 0.1321

Results
* density of states at the Fermi level: 0.25 states/eV per atom
* DFT formation energy: -489.3 meV per atom



Entry 2:
DFT (PBE-GGA) results for a geometry-optimized LiZn2GePd2 structure.

a b c (Å): 4.3128 5.0069 8.1738
angles (deg): 90.00 90.00 90.00
Atoms (fractional coordinates):
Pd1 0.5000 0.6868 0.6049
Pd2 0.0000 0.8289 0.1106
Zn1 0.0000 0.8351 0.7810
Pd3 0.5000 0.1868 0.3951
Li1 0.0000 0.8852 0.4385
Ge1 0.5000 0.1753 0.7125
Zn2 0.0000 0.3351 0.2190
Zn3 0.5000 0.6343 0.9385
Zn4 0.5000 0.1343 0.0615
Pd4 0.0000 0.3289 0.8894
Li2 0.0000 0.3852 0.5615
Ge2 0.5000 0.6753 0.2875

Results
* density of states at the Fermi level: 0.35 states/eV per atom
* DFT formation energy: -437.5 meV per atom



Entry 3:
DFT (PBE-GGA) results for a geometry-optimized Li6PmGe4 structure.

a b c (Å): 4.3398 7.0902 7.0902
angles (deg): 120.00 90.00 90.00
Atoms (fractional coordinates):
Li1 0.0000 0.9299 0.4649
Li2 0.5000 0.5750 0.7875
Ge1 0.0000 0.3333 0.6667
Li3 0.5000 0.2125 0.4250
Li4 0.0000 0.5351 0.4649
Li5 0.5000 0.2125 0.7875
Pm1 0.0000 0.0000 0.0000
Li6 0.0000 0.5351 0.0701
Ge2 0.5000 0.4132 0.2066
Ge3 0.5000 0.7934 0.5868
Ge4 0.5000 0.7934 0.2066

Results
* density of states at the Fermi level: 0.43 states/eV per atom
* DFT formation energy: -337.4 meV per atom



What is the density of states at the Fermi level in the first record? 0.25 states/eV per atom



Copy entry 1 word for word.
DFT (PBE-GGA) results for a geometry-optimized Li2ZnGe2Pd5 structure.

a b c (Å): 3.5933 9.4286 9.4286
angles (deg): 90.00 90.00 90.00
Atoms (fractional coordinates):
Pd1 0.5000 0.9243 0.1966
Pd2 0.5000 0.8034 0.9243
Pd3 0.5000 0.0000 0.5000
Pd4 0.5000 0.1966 0.0757
Zn1 0.0000 0.5000 0.5000
Li1 0.0000 0.1679 0.3321
Li2 0.0000 0.8321 0.6679
Pd5 0.5000 0.4243 0.3034
Li3 0.0000 0.6679 0.1679
Pd6 0.5000 0.0757 0.8034
Pd7 0.5000 0.5000 0.0000
Ge1 0.0000 0.1321 0.6321
Li4 0.0000 0.3321 0.8321
Ge2 0.0000 0.8679 0.3679
Pd8 0.5000 0.3034 0.5757
Ge3 0.0000 0.6321 0.8679
Pd9 0.5000 0.6966 0.4243
Zn2 0.0000 0.0000 0.0000
Pd10 0.5000 0.5757 0.6966
Ge4 0.0000 0.3679 0.1321

Results
* density of states at the Fermi level: 0.25 states/eV per atom
* DFT formation energy: -489.3 meV per atom



Look up the DFT formation energy of the first one. -489.3 meV per atom



The highest DFT formation energy belongs to which entry? Li6PmGe4